[1]
Below is KReSi after structural relaxation, with properties calculated at the GGA-PBE level. Values from VASP.

## Properties
As for the space group: Fmm2. For the uncorrected formation energy, the calculation gives 0.660 eV/atom. The calculation puts the energy above the lowest structure with this stoichiometry at 0.185 eV/atom.

Cell and atoms, written as Quantum ESPRESSO input:
```
&SYSTEM
  ibrav = 0, nat = 3, ntyp = 3
/
ATOMIC_SPECIES
Si 28.09 Si.upf
K 39.10 K.upf
Re 186.21 Re.upf
CELL_PARAMETERS angstrom
7.821 0.007 -0.006
7.164 2.760 0.022
0.657 -0.678 2.668
ATOMIC_POSITIONS crystal
Si 0.689 0.689 0.311
K 0.003 0.003 0.997
Re 0.308 0.308 0.692
```

***

[2]
Below is AcLaC4 after structural relaxation, with properties calculated at the GGA-PBE level. Values from VASP.

## Properties
As for the space group: C2/m. For the energy of formation from the pure elements, the calculation gives -0.691 eV/f.u.

Cell and atoms, written as Quantum ESPRESSO input:
```
&SYSTEM
  ibrav = 0, nat = 6, ntyp = 3
/
ATOMIC_SPECIES
La 138.91 La.upf
Ac 227.00 Ac.upf
C 12.01 C.upf
CELL_PARAMETERS angstrom
3.864 0.000 1.118
1.889 3.896 0.708
0.013 -0.019 7.195
ATOMIC_POSITIONS crystal
La 0.500 0.500 0.500
Ac 0.000 0.000 0.000
C 0.801 0.609 0.789
C 0.297 0.099 0.307
C 0.703 0.901 0.693
C 0.199 0.391 0.211
```

***

[3]
Below is In5Pb12Cl3 after structural relaxation, with properties calculated at the GGA-PBE level. Values from VASP.

## Properties
As for the space group: Ia-3d. For the uncorrected formation energy, the calculation gives 0.128 eV/atom.

Cell and atoms, written as Quantum ESPRESSO input:
```
&SYSTEM
  ibrav = 0, nat = 80, ntyp = 3
/
ATOMIC_SPECIES
Pb 207.20 Pb.upf
In 114.82 In.upf
Cl 35.45 Cl.upf
CELL_PARAMETERS angstrom
-11.015 -4.088 10.272
14.007 -0.681 6.846
-2.662 14.553 -4.965
ATOMIC_POSITIONS crystal
Pb 0.266 0.860 0.930
Pb 0.570 0.234 0.140
In 0.875 0.250 0.625
Cl 0.375 0.625 0.250
In 0.000 0.000 0.000
In 0.250 0.375 0.625
Pb 0.640 0.571 0.907
Pb 0.860 0.593 0.929
Cl 0.625 0.250 0.375
Pb 0.234 0.664 0.093
Pb 0.429 0.070 0.336
Cl 0.625 0.375 0.750
Pb 0.164 0.071 0.930
Pb 0.571 0.930 0.664
Pb 0.407 0.266 0.336
Pb 0.164 0.093 0.734
In 0.625 0.875 0.250
Pb 0.570 0.336 0.929
Pb 0.360 0.429 0.093
Pb 0.430 0.664 0.071
Pb 0.429 0.360 0.593
In 0.375 0.250 0.125
Pb 0.930 0.571 0.164
Cl 0.750 0.375 0.125
Pb 0.070 0.429 0.836
Pb 0.929 0.836 0.570
Pb 0.907 0.836 0.766
Pb 0.430 0.766 0.860
Pb 0.266 0.407 0.836
Cl 0.250 0.125 0.375
Pb 0.336 0.570 0.429
In 0.750 0.125 0.875
Pb 0.766 0.430 0.360
In 0.125 0.375 0.250
In 0.875 0.625 0.750
Pb 0.734 0.140 0.070
Pb 0.929 0.093 0.860
Pb 0.571 0.640 0.407
Pb 0.071 0.164 0.430
Cl 0.750 0.875 0.625
Pb 0.930 0.360 0.266
Pb 0.070 0.640 0.734
In 0.625 0.750 0.875
Cl 0.375 0.750 0.625
Pb 0.407 0.140 0.571
In 0.000 0.500 0.500
Cl 0.125 0.250 0.875
Pb 0.734 0.593 0.164
Pb 0.640 0.070 0.234
Pb 0.336 0.766 0.407
In 0.500 0.500 0.500
In 0.500 0.500 0.000
In 0.750 0.625 0.375
In 0.125 0.750 0.375
Pb 0.836 0.929 0.070
In 0.000 0.500 0.000
Pb 0.093 0.929 0.360
Pb 0.907 0.071 0.640
In 0.375 0.125 0.750
Pb 0.664 0.430 0.571
Pb 0.234 0.570 0.640
Pb 0.766 0.336 0.907
Cl 0.125 0.875 0.750
Pb 0.071 0.907 0.140
Pb 0.093 0.164 0.234
Cl 0.875 0.750 0.125
Pb 0.140 0.407 0.071
Pb 0.360 0.930 0.766
Cl 0.250 0.625 0.875
In 0.500 0.000 0.000
In 0.500 0.000 0.500
Pb 0.593 0.734 0.664
Pb 0.836 0.907 0.266
Cl 0.875 0.125 0.250
Pb 0.860 0.266 0.430
Pb 0.664 0.234 0.593
Pb 0.140 0.734 0.570
Pb 0.593 0.860 0.429
In 0.000 0.000 0.500
In 0.250 0.875 0.125
```

***

[4]
Below is MoWAu2 after structural relaxation, with properties calculated at the GGA-PBE level. Values from VASP.

## Properties
As for the space group: I4/mmm. For the energy of formation from the pure elements, the calculation gives 1.514 eV/f.u. The calculation puts the energy above the lowest structure with this stoichiometry at 0.174 eV/atom.

Cell and atoms, written as Quantum ESPRESSO input:
```
&SYSTEM
  ibrav = 0, nat = 4, ntyp = 3
/
ATOMIC_SPECIES
Au 196.97 Au.upf
W 183.84 W.upf
Mo 95.94 Mo.upf
CELL_PARAMETERS angstrom
5.165 -0.007 -0.008
2.226 4.661 0.008
-3.691 -2.334 2.760
ATOMIC_POSITIONS crystal
Au 0.000 0.000 0.000
Au 0.500 0.500 0.000
W 0.250 0.750 0.500
Mo 0.750 0.250 0.500
```

***

[5]
Below is SmHo5Tm5 after structural relaxation, with properties calculated at the GGA-PBE level. Values from VASP.

## Properties
As for the space group: P-1. For the energy of formation from the pure elements, the calculation gives 1.600 eV/f.u. The calculation puts the energy above the lowest structure with this stoichiometry at 0.000 eV/atom.

Cell and atoms, written as Quantum ESPRESSO input:
```
&SYSTEM
  ibrav = 0, nat = 11, ntyp = 3
/
ATOMIC_SPECIES
Tm 168.93 Tm.upf
Ho 164.93 Ho.upf
Sm 150.36 Sm.upf
CELL_PARAMETERS angstrom
-3.946 -5.107 -2.483
9.090 0.843 -2.303
-2.068 -6.906 3.748
ATOMIC_POSITIONS crystal
Tm 0.000 0.000 0.500
Tm 0.318 0.717 0.647
Ho 0.500 0.000 0.000
Tm 0.336 0.680 0.207
Ho 0.745 0.656 0.673
Ho 0.145 0.359 0.841
Tm 0.682 0.283 0.353
Ho 0.855 0.641 0.159
Tm 0.664 0.320 0.793
Sm 0.000 0.000 0.000
Ho 0.255 0.344 0.327
```

***

[6]
Below is CaAcPb4 after structural relaxation, with properties calculated at the GGA-PBE level. Values from VASP.

## Properties
As for the space group: F-43m. For the energy of formation from the pure elements, the calculation gives -1.721 eV/f.u. The calculation puts the energy above the lowest structure with this stoichiometry at 0.089 eV/atom.

Cell and atoms, written as Quantum ESPRESSO input:
```
&SYSTEM
  ibrav = 0, nat = 6, ntyp = 3
/
ATOMIC_SPECIES
Pb 207.20 Pb.upf
Ca 40.08 Ca.upf
Ac 227.00 Ac.upf
CELL_PARAMETERS angstrom
6.586 0.000 0.000
3.293 5.703 0.000
3.293 1.901 5.377
ATOMIC_POSITIONS crystal
Pb 0.625 0.625 0.625
Pb 0.625 0.125 0.625
Ca 0.250 0.250 0.250
Ac 0.000 0.000 0.000
Pb 0.125 0.625 0.625
Pb 0.625 0.625 0.125
```

***

[7]
Below is HfTa2NiP after structural relaxation, with properties calculated at the GGA-PBE level. Values from VASP.

## Properties
As for the space group: P4/mmm. For the energy of formation from the pure elements, the calculation gives 9.591 eV/f.u.

Cell and atoms, written as Quantum ESPRESSO input:
```
&SYSTEM
  ibrav = 0, nat = 5, ntyp = 4
/
ATOMIC_SPECIES
Ta 180.95 Ta.upf
Hf 178.49 Hf.upf
P 30.97 P.upf
Ni 58.69 Ni.upf
CELL_PARAMETERS angstrom
5.009 0.000 0.000
0.000 4.355 0.000
0.000 0.000 5.009
ATOMIC_POSITIONS crystal
Ta 0.000 0.000 0.500
Hf 0.000 0.000 0.000
Ta 0.500 0.000 0.000
P 0.500 0.500 0.500
Ni 0.000 0.500 0.000
```

***

[8]
Below is YCrCl2 after structural relaxation, with properties calculated at the GGA-PBE level. Values from VASP.

## Properties
As for the space group: P4/mmm. For the uncorrected formation energy, the calculation gives -0.652 eV/atom. The calculation puts the energy above the lowest structure with this stoichiometry at 0.167 eV/atom.

Cell and atoms, written as Quantum ESPRESSO input:
```
&SYSTEM
  ibrav = 0, nat = 4, ntyp = 3
/
ATOMIC_SPECIES
Cl 35.45 Cl.upf
Cr 52.00 Cr.upf
Y 88.91 Y.upf
CELL_PARAMETERS angstrom
3.319 0.000 0.000
0.000 3.321 0.000
0.000 0.000 10.491
ATOMIC_POSITIONS crystal
Cl 0.000 0.000 0.902
Cr 0.500 0.500 0.250
Y 0.500 0.500 0.750
Cl 0.000 0.000 0.598
```

***

Number 1: size of the total moment 0.0 μB per formula unit, DFT total energy -5.663 eV/atom. Number 2: size of the total moment 0.0 μB per formula unit, DFT total energy -7.770 eV/atom. Number 3: size of the total moment 0.0 μB per formula unit, DFT total energy -3.058 eV/atom. Number 4: size of the total moment 0.0 μB per formula unit, DFT total energy -7.206 eV/atom. Number 5: size of the total moment 0.0 μB per formula unit, DFT total energy -4.397 eV/atom. Number 6: size of the total moment 0.0 μB per formula unit, DFT total energy -3.777 eV/atom. Number 7: size of the total moment 0.0 μB per formula unit, DFT total energy -7.052 eV/atom. Number 8: size of the total moment 5.0 μB per formula unit, DFT total energy -5.597 eV/atom.